Below is an optimized crystal structure of K2PmCu2Te4, with properties calculated at the PBE level.

POSCAR file:
```
K2PmCu2Te4
1.0
8.018 -2.150 0.000
8.018 2.150 0.000
-2.823 0.000 8.166
K Pm Cu Te
2 1 2 4
Direct
0.131 0.131 0.050
0.869 0.869 0.950
0.000 0.000 0.500
0.318 0.318 0.510
0.682 0.682 0.490
0.207 0.207 0.683
0.475 0.475 0.743
0.525 0.525 0.257
0.793 0.793 0.317
```

Values from the calculation:
Space group ... No. 12
Energy relative to the elements, uncorrected ... -729 kJ/mol of formula units
Final energy ... -3.918 eV per atom
Total moment ... 0.0 Bohr magnetons per cell

=====

Below is an optimized crystal structure of KPr2Cu, with properties calculated at the PBE level.

POSCAR file:
```
KPr2Cu
1.0
1.918 1.108 11.752
-1.918 1.108 11.752
0.000 -2.215 11.752
K Pr Cu
1 2 1
Direct
0.000 0.000 0.000
0.112 0.112 0.112
0.888 0.888 0.888
0.500 0.500 0.500
```

Values from the calculation:
Energy relative to the elements ... 21 kJ per mole of atoms
Space group ... No. 166
Final energy ... -3.470 eV per atom
Total moment ... 0.0 Bohr magnetons per cell

=====

Below is an optimized crystal structure of KPr2Cu2S4, with properties calculated at the PBE level.

POSCAR file:
```
KPr2Cu2S4
1.0
7.566 -1.887 0.000
7.566 1.887 0.000
-2.978 0.000 6.697
K Pr Cu S
1 2 2 4
Direct
0.000 0.000 0.000
0.127 0.127 0.555
0.873 0.873 0.445
0.311 0.311 0.990
0.689 0.689 0.010
0.217 0.217 0.232
0.460 0.460 0.272
0.540 0.540 0.728
0.783 0.783 0.768
```

Values from the calculation:
Space group ... No. 12
Energy relative to the elements, uncorrected ... -1015 kJ/mol of formula units
Final energy ... -5.098 eV per atom
Total moment ... 0.0 Bohr magnetons per cell

=====

Below is an optimized crystal structure of KPr2CuS4, with properties calculated at the PBE level.

POSCAR file:
```
KPr2CuS4
1.0
2.051 -7.018 0.000
2.051 7.018 0.000
0.000 0.000 14.117
K Pr Cu S
2 4 2 8
Direct
0.107 0.893 0.750
0.893 0.107 0.250
0.365 0.635 0.562
0.365 0.635 0.938
0.635 0.365 0.062
0.635 0.365 0.438
0.163 0.837 0.250
0.837 0.163 0.750
0.000 0.000 0.000
0.000 0.000 0.500
0.263 0.737 0.116
0.263 0.737 0.384
0.429 0.571 0.750
0.571 0.429 0.250
0.737 0.263 0.616
0.737 0.263 0.884
```

Values from the calculation:
Space group ... No. 63
Energy relative to the elements, uncorrected ... -1253 kJ/mol of formula units
Final energy ... -5.531 eV per atom
Total moment ... 0.0 Bohr magnetons per cell

=====

Below is an optimized crystal structure of KPr2CuSe4, with properties calculated at the PBE level.

POSCAR file:
```
KPr2CuSe4
1.0
2.124 -7.282 0.000
2.124 7.282 0.000
0.000 0.000 14.727
K Pr Cu Se
2 4 2 8
Direct
0.109 0.891 0.750
0.891 0.109 0.250
0.365 0.635 0.564
0.365 0.635 0.936
0.635 0.365 0.064
0.635 0.365 0.436
0.160 0.840 0.250
0.840 0.160 0.750
0.000 0.000 0.000
0.000 0.000 0.500
0.265 0.735 0.117
0.265 0.735 0.383
0.435 0.565 0.750
0.565 0.435 0.250
0.735 0.265 0.617
0.735 0.265 0.883
```

Values from the calculation:
Space group ... No. 63
Energy relative to the elements, uncorrected ... -1165 kJ/mol of formula units
Final energy ... -5.095 eV per atom
Total moment ... 0.0 Bohr magnetons per cell

=====

Below is an optimized crystal structure of KPr2CuTe4, with properties calculated at the PBE level.

POSCAR file:
```
KPr2CuTe4
1.0
2.248 -7.743 0.000
2.248 7.743 0.000
0.000 0.000 15.740
K Pr Cu Te
2 4 2 8
Direct
0.110 0.890 0.750
0.890 0.110 0.250
0.364 0.636 0.564
0.364 0.636 0.936
0.636 0.364 0.064
0.636 0.364 0.436
0.157 0.843 0.250
0.843 0.157 0.750
0.000 0.000 0.000
0.000 0.000 0.500
0.268 0.732 0.119
0.268 0.732 0.381
0.437 0.563 0.750
0.563 0.437 0.250
0.732 0.268 0.619
0.732 0.268 0.881
```

Values from the calculation:
Space group ... No. 63
Energy relative to the elements, uncorrected ... -907 kJ/mol of formula units
Final energy ... -4.590 eV per atom
Total moment ... 0.0 Bohr magnetons per cell

=====

Below is an optimized crystal structure of KCuPt2, with properties calculated at the PBE level.

POSCAR file:
```
KCuPt2
1.0
2.794 0.000 0.000
0.000 4.519 0.000
-0.011 0.000 6.707
K Cu Pt
1 1 2
Direct
0.000 0.000 0.000
0.502 0.500 0.698
0.001 0.500 0.382
0.501 0.000 0.454
```

Values from the calculation:
Energy relative to the elements ... 12 kJ per mole of atoms
Space group ... No. 6
Energy relative to the lowest polymorph listed for this composition ... 0.21 eV per formula unit
Final energy ... -4.189 eV per atom
Total moment ... 0.0 Bohr magnetons per cell

=====

Below is an optimized crystal structure of KCu2Pt, with properties calculated at the PBE level.

POSCAR file:
```
KCu2Pt
1.0
4.802 0.000 0.000
0.000 4.802 0.000
0.000 0.000 2.902
K Cu Pt
1 2 1
Direct
0.000 0.000 0.000
0.000 0.500 0.500
0.500 0.000 0.500
0.500 0.500 0.000
```

Values from the calculation:
Energy relative to the elements ... 35 kJ per mole of atoms
Space group ... No. 123
Energy relative to the lowest polymorph listed for this composition ... 0.81 eV per formula unit
Final energy ... -3.467 eV per atom
Total moment ... 0.0 Bohr magnetons per cell

=====

Below is an optimized crystal structure of KCu2Pt, with properties calculated at the PBE level.

POSCAR file:
```
KCu2Pt
1.0
2.759 0.000 0.000
0.000 4.936 0.000
0.000 0.000 5.240
K Cu Pt
1 2 1
Direct
0.000 0.000 0.000
0.000 0.500 0.500
0.500 0.500 0.000
0.500 0.000 0.500
```

Values from the calculation:
Energy relative to the elements ... 50 kJ per mole of atoms
Space group ... No. 47
Energy relative to the lowest polymorph listed for this composition ... 1.44 eV per formula unit
Final energy ... -3.311 eV per atom
Total moment ... 0.0 Bohr magnetons per cell

=====

Below is an optimized crystal structure of KCu2Pt, with properties calculated at the PBE level.

POSCAR file:
```
KCu2Pt
1.0
2.835 0.000 0.000
0.000 3.837 0.000
-0.056 0.000 7.077
K Cu Pt
1 2 1
Direct
0.000 0.000 0.000
0.498 0.500 0.333
0.502 0.500 0.667
0.000 0.000 0.500
```

Values from the calculation:
Energy relative to the elements ... 16 kJ per mole of atoms
Space group ... No. 10
Energy relative to the lowest polymorph listed for this composition ... 0.01 eV per formula unit
Final energy ... -3.668 eV per atom
Total moment ... 0.0 Bohr magnetons per cell

=====

Below is an optimized crystal structure of KCuPt2, with properties calculated at the PBE level.

POSCAR file:
```
KCuPt2
1.0
2.721 0.000 0.000
0.000 4.261 0.000
-1.314 0.000 7.060
K Cu Pt
1 1 2
Direct
0.000 0.000 0.000
0.500 0.000 0.500
0.307 0.500 0.669
0.693 0.500 0.331
```

Values from the calculation:
Energy relative to the elements ... 16 kJ per mole of atoms
Space group ... No. 10
Energy relative to the lowest polymorph listed for this composition ... 0.35 eV per formula unit
Final energy ... -4.156 eV per atom
Total moment ... 0.0 Bohr magnetons per cell

=====

Below is an optimized crystal structure of KCu2Pt, with properties calculated at the PBE level.

POSCAR file:
```
KCu2Pt
1.0
1.423 0.822 9.826
-1.423 0.822 9.826
0.000 -1.643 9.826
K Cu Pt
1 2 1
Direct
0.000 0.000 0.000
0.238 0.238 0.238
0.762 0.762 0.762
0.500 0.500 0.500
```

Values from the calculation:
Energy relative to the elements ... 45 kJ per mole of atoms
Space group ... No. 166
Energy relative to the lowest polymorph listed for this composition ... 1.21 eV per formula unit
Final energy ... -3.368 eV per atom
Total moment ... 0.0 Bohr magnetons per cell